1.
! Zr2CdAu PBE optimized geometry; values from VASP
! Symmetry: R3m (160)
! Uncorrected energy, eV per atom: -5.228
&SYSTEM
  ibrav = 0, nat = 4, ntyp = 3
/
ATOMIC_SPECIES
Zr 91.22 Zr.upf
Cd 112.41 Cd.upf
Au 196.97 Au.upf
CELL_PARAMETERS angstrom
2.234 1.290 5.655
-2.234 1.290 5.655
0.000 -2.580 5.655
ATOMIC_POSITIONS crystal
Zr 0.000 0.000 0.000
Zr 0.200 0.200 0.200
Cd 0.774 0.774 0.774
Au 0.598 0.598 0.598



2.
! Be2BH3O5 PBE optimized geometry; values from VASP
! Symmetry: Cc (9)
! Uncorrected energy, eV per atom: -6.478
&SYSTEM
  ibrav = 0, nat = 22, ntyp = 4
/
ATOMIC_SPECIES
Be 9.01 Be.upf
B 10.81 B.upf
H 1.01 H.upf
O 16.00 O.upf
CELL_PARAMETERS angstrom
3.869 -2.220 0.000
3.869 2.220 0.000
-0.506 0.000 10.806
ATOMIC_POSITIONS crystal
Be 0.001 0.999 0.500
Be 0.338 0.343 0.603
Be 0.343 0.338 0.103
Be 0.999 0.001 0.000
B 0.670 0.671 0.549
B 0.671 0.670 0.049
H 0.114 0.756 0.805
H 0.137 0.733 0.307
H 0.227 0.247 0.787
H 0.247 0.227 0.287
H 0.733 0.137 0.807
H 0.756 0.114 0.305
O 0.001 0.980 0.345
O 0.341 0.364 0.753
O 0.360 0.980 0.047
O 0.361 0.671 0.550
O 0.364 0.341 0.253
O 0.670 0.980 0.549
O 0.671 0.361 0.050
O 0.980 0.001 0.845
O 0.980 0.360 0.547
O 0.980 0.670 0.049



3.
! In2GaHgH PBE optimized geometry; values from VASP
! Symmetry: P4/mmm (123)
! Uncorrected energy, eV per atom: -2.289
&SYSTEM
  ibrav = 0, nat = 5, ntyp = 4
/
ATOMIC_SPECIES
In 114.82 In.upf
Ga 69.72 Ga.upf
Hg 200.59 Hg.upf
H 1.01 H.upf
CELL_PARAMETERS angstrom
5.618 0.000 0.000
0.000 5.618 0.000
0.000 0.000 3.440
ATOMIC_POSITIONS crystal
In 0.000 0.500 0.000
In 0.500 0.000 0.000
Ga 0.000 0.000 0.000
Hg 0.500 0.500 0.500
H 0.000 0.000 0.500



4.
! LiLaGaPd3 PBE optimized geometry; values from VASP
! Symmetry: Cmcm (63)
! Uncorrected energy, eV per atom: -4.835
&SYSTEM
  ibrav = 0, nat = 12, ntyp = 4
/
ATOMIC_SPECIES
Li 6.94 Li.upf
La 138.91 La.upf
Ga 69.72 Ga.upf
Pd 106.42 Pd.upf
CELL_PARAMETERS angstrom
2.883 -6.388 0.000
2.883 6.388 0.000
0.000 0.000 5.992
ATOMIC_POSITIONS crystal
Li 0.102 0.898 0.750
Li 0.898 0.102 0.250
La 0.322 0.678 0.750
La 0.678 0.322 0.250
Ga 0.377 0.623 0.250
Ga 0.623 0.377 0.750
Pd 0.174 0.826 0.250
Pd 0.249 0.249 0.000
Pd 0.249 0.249 0.500
Pd 0.751 0.751 0.000
Pd 0.751 0.751 0.500
Pd 0.826 0.174 0.750



5.
! Sm5Bi4Se PBE optimized geometry; values from VASP
! Symmetry: I4/m (87)
! Energy relative to the elements, uncorrected, eV per formula unit: -10.95
&SYSTEM
  ibrav = 0, nat = 10, ntyp = 3
/
ATOMIC_SPECIES
Sm 150.36 Sm.upf
Bi 208.98 Bi.upf
Se 78.96 Se.upf
CELL_PARAMETERS angstrom
-5.012 5.012 3.183
5.012 -5.012 3.183
5.012 5.012 -3.183
ATOMIC_POSITIONS crystal
Sm 0.000 0.000 0.000
Sm 0.210 0.401 0.611
Sm 0.401 0.790 0.190
Sm 0.599 0.210 0.810
Sm 0.790 0.599 0.389
Bi 0.096 0.698 0.794
Bi 0.302 0.096 0.397
Bi 0.698 0.904 0.603
Bi 0.904 0.302 0.206
Se 0.500 0.500 0.000



6.
! CaDyNi2 PBE optimized geometry; values from VASP
! Symmetry: Fm-3m (225)
! Uncorrected energy, eV per atom: -4.725
&SYSTEM
  ibrav = 0, nat = 4, ntyp = 3
/
ATOMIC_SPECIES
Ca 40.08 Ca.upf
Dy 162.50 Dy.upf
Ni 58.69 Ni.upf
CELL_PARAMETERS angstrom
0.000 3.381 3.381
3.381 0.000 3.381
3.381 3.381 0.000
ATOMIC_POSITIONS crystal
Ca 0.000 0.000 0.000
Dy 0.500 0.500 0.500
Ni 0.250 0.250 0.250
Ni 0.750 0.750 0.750



7.
! SrAl4Os PBE optimized geometry; values from VASP
! Symmetry: F-43m (216)
! Uncorrected energy, eV per atom: -4.445
&SYSTEM
  ibrav = 0, nat = 6, ntyp = 3
/
ATOMIC_SPECIES
Sr 87.62 Sr.upf
Al 26.98 Al.upf
Os 190.23 Os.upf
CELL_PARAMETERS angstrom
0.000 3.793 3.793
3.793 0.000 3.793
3.793 3.793 0.000
ATOMIC_POSITIONS crystal
Sr 0.000 0.000 0.000
Al 0.129 0.624 0.624
Al 0.624 0.129 0.624
Al 0.624 0.624 0.129
Al 0.624 0.624 0.624
Os 0.250 0.250 0.250



8.
! CoNi PBE optimized geometry; values from VASP
! Symmetry: P6_3/mmc (194)
! Uncorrected energy, eV per atom: -5.435
&SYSTEM
  ibrav = 0, nat = 4, ntyp = 2
/
ATOMIC_SPECIES
Co 58.93 Co.upf
Ni 58.69 Ni.upf
CELL_PARAMETERS angstrom
3.930 0.000 0.000
-1.965 3.404 0.000
0.000 0.000 4.608
ATOMIC_POSITIONS crystal
Co 0.333 0.667 0.250
Co 0.667 0.333 0.750
Ni 0.333 0.667 0.750
Ni 0.667 0.333 0.250



9.
! Ag5Pd3O8 PBE optimized geometry; values from VASP
! Symmetry: R-3m (166)
! Energy relative to the elements, uncorrected, eV per formula unit: -1.96
&SYSTEM
  ibrav = 0, nat = 16, ntyp = 3
/
ATOMIC_SPECIES
Ag 107.87 Ag.upf
Pd 106.42 Pd.upf
O 16.00 O.upf
CELL_PARAMETERS angstrom
3.236 1.868 5.694
-3.236 1.868 5.694
0.000 -3.736 5.694
ATOMIC_POSITIONS crystal
Ag 0.000 0.000 0.000
Ag 0.000 0.500 0.500
Ag 0.500 0.000 0.500
Ag 0.500 0.500 0.000
Ag 0.500 0.500 0.500
Pd 0.000 0.000 0.500
Pd 0.000 0.500 0.000
Pd 0.500 0.000 0.000
O 0.192 0.748 0.748
O 0.237 0.237 0.237
O 0.252 0.252 0.808
O 0.252 0.808 0.252
O 0.748 0.192 0.748
O 0.748 0.748 0.192
O 0.763 0.763 0.763
O 0.808 0.252 0.252



10.
! Be2RhBr PBE optimized geometry; values from VASP
! Symmetry: C2/m (12)
! Energy relative to the elements, uncorrected, eV per formula unit: 1.38
&SYSTEM
  ibrav = 0, nat = 4, ntyp = 3
/
ATOMIC_SPECIES
Be 9.01 Be.upf
Rh 102.91 Rh.upf
Br 79.90 Br.upf
CELL_PARAMETERS angstrom
2.721 -3.265 0.000
2.721 3.265 0.000
-0.019 0.000 2.977
ATOMIC_POSITIONS crystal
Be 0.000 0.500 0.000
Be 0.500 0.000 0.000
Rh 0.000 0.000 0.500
Br 0.500 0.500 0.500



11.
! Cr2RuCl PBE optimized geometry; values from VASP
! Symmetry: P4/mmm (123)
! Energy relative to the elements, uncorrected, eV per formula unit: 1.40
&SYSTEM
  ibrav = 0, nat = 4, ntyp = 3
/
ATOMIC_SPECIES
Cr 52.00 Cr.upf
Ru 101.07 Ru.upf
Cl 35.45 Cl.upf
CELL_PARAMETERS angstrom
2.788 0.000 0.000
0.000 2.788 0.000
0.000 0.000 6.581
ATOMIC_POSITIONS crystal
Cr 0.000 0.000 0.242
Cr 0.000 0.000 0.758
Ru 0.500 0.500 0.500
Cl 0.500 0.500 0.000



12.
! Li2ErMg5 PBE optimized geometry; values from VASP
! Symmetry: I4/mcm (140)
! Uncorrected energy, eV per atom: -1.978
&SYSTEM
  ibrav = 0, nat = 16, ntyp = 3
/
ATOMIC_SPECIES
Li 6.94 Li.upf
Er 167.26 Er.upf
Mg 24.30 Mg.upf
CELL_PARAMETERS angstrom
-3.865 3.865 6.272
3.865 -3.865 6.272
3.865 3.865 -6.272
ATOMIC_POSITIONS crystal
Li 0.154 0.654 0.807
Li 0.346 0.154 0.500
Li 0.654 0.846 0.500
Li 0.846 0.346 0.193
Er 0.250 0.250 0.000
Er 0.750 0.750 0.000
Mg 0.000 0.000 0.000
Mg 0.004 0.797 0.500
Mg 0.203 0.703 0.207
Mg 0.297 0.504 0.500
Mg 0.496 0.996 0.793
Mg 0.500 0.500 0.000
Mg 0.504 0.004 0.207
Mg 0.703 0.496 0.500
Mg 0.797 0.297 0.793
Mg 0.996 0.203 0.500



13.
! Ce2Pt2Au PBE optimized geometry; values from VASP
! Symmetry: P4/mbm (127)
! Uncorrected energy, eV per atom: -6.441
&SYSTEM
  ibrav = 0, nat = 10, ntyp = 3
/
ATOMIC_SPECIES
Ce 140.12 Ce.upf
Pt 195.08 Pt.upf
Au 196.97 Au.upf
CELL_PARAMETERS angstrom
7.743 0.000 0.000
0.000 7.743 0.000
0.000 0.000 3.758
ATOMIC_POSITIONS crystal
Ce 0.173 0.327 0.000
Ce 0.327 0.827 0.000
Ce 0.673 0.173 0.000
Ce 0.827 0.673 0.000
Pt 0.131 0.631 0.500
Pt 0.369 0.131 0.500
Pt 0.631 0.869 0.500
Pt 0.869 0.369 0.500
Au 0.000 0.000 0.500
Au 0.500 0.500 0.500



14.
! DyEr2ThSe4 PBE optimized geometry; values from VASP
! Symmetry: P2/m (10)
! Energy relative to the elements, uncorrected, eV per formula unit: -13.23
&SYSTEM
  ibrav = 0, nat = 8, ntyp = 4
/
ATOMIC_SPECIES
Dy 162.50 Dy.upf
Er 167.26 Er.upf
Th 232.04 Th.upf
Se 78.96 Se.upf
CELL_PARAMETERS angstrom
7.079 0.000 0.000
0.000 4.037 0.000
-2.316 0.000 6.779
ATOMIC_POSITIONS crystal
Dy 0.000 0.000 0.000
Er 0.000 0.500 0.500
Er 0.500 0.000 0.500
Th 0.500 0.500 0.000
Se 0.239 0.000 0.736
Se 0.247 0.500 0.259
Se 0.753 0.500 0.741
Se 0.761 0.000 0.264



15.
! Sm8Ho3Er2 PBE optimized geometry; values from VASP
! Symmetry: C2/m (12)
! Uncorrected energy, eV per atom: -4.449
&SYSTEM
  ibrav = 0, nat = 13, ntyp = 3
/
ATOMIC_SPECIES
Sm 150.36 Sm.upf
Ho 164.93 Ho.upf
Er 167.26 Er.upf
CELL_PARAMETERS angstrom
10.085 -3.848 0.000
10.085 3.848 0.000
-0.002 0.000 5.681
ATOMIC_POSITIONS crystal
Sm 0.100 0.687 0.000
Sm 0.172 0.172 0.501
Sm 0.313 0.900 0.000
Sm 0.368 0.368 0.500
Sm 0.632 0.632 0.500
Sm 0.687 0.100 0.000
Sm 0.828 0.828 0.499
Sm 0.900 0.313 0.000
Ho 0.214 0.786 0.500
Ho 0.500 0.500 0.000
Ho 0.786 0.214 0.500
Er 0.260 0.260 0.001
Er 0.740 0.740 0.999



16.
! H5Pd3Pb12 PBE optimized geometry; values from VASP
! Symmetry: Ia-3d (230)
! Uncorrected energy, eV per atom: -3.671
&SYSTEM
  ibrav = 0, nat = 80, ntyp = 3
/
ATOMIC_SPECIES
H 1.01 H.upf
Pd 106.42 Pd.upf
Pb 207.20 Pb.upf
CELL_PARAMETERS angstrom
-7.676 7.676 7.676
7.676 -7.676 7.676
7.676 7.676 -7.676
ATOMIC_POSITIONS crystal
H 0.000 0.000 0.000
H 0.000 0.000 0.500
H 0.000 0.500 0.000
H 0.000 0.500 0.500
H 0.125 0.750 0.875
H 0.125 0.875 0.250
H 0.250 0.125 0.875
H 0.250 0.625 0.375
H 0.375 0.250 0.625
H 0.375 0.625 0.750
H 0.500 0.000 0.000
H 0.500 0.000 0.500
H 0.500 0.500 0.000
H 0.500 0.500 0.500
H 0.625 0.375 0.250
H 0.625 0.750 0.375
H 0.750 0.375 0.625
H 0.750 0.875 0.125
H 0.875 0.125 0.750
H 0.875 0.250 0.125
Pd 0.125 0.250 0.375
Pd 0.125 0.375 0.750
Pd 0.250 0.375 0.125
Pd 0.250 0.875 0.625
Pd 0.375 0.125 0.250
Pd 0.375 0.750 0.125
Pd 0.625 0.250 0.875
Pd 0.625 0.875 0.750
Pd 0.750 0.125 0.375
Pd 0.750 0.625 0.875
Pd 0.875 0.625 0.250
Pd 0.875 0.750 0.625
Pb 0.031 0.214 0.120
Pb 0.031 0.317 0.910
Pb 0.090 0.620 0.407
Pb 0.090 0.969 0.683
Pb 0.093 0.714 0.683
Pb 0.093 0.880 0.410
Pb 0.120 0.031 0.214
Pb 0.120 0.590 0.907
Pb 0.183 0.214 0.593
Pb 0.183 0.469 0.590
Pb 0.214 0.120 0.031
Pb 0.214 0.593 0.183
Pb 0.286 0.317 0.907
Pb 0.286 0.469 0.380
Pb 0.317 0.907 0.286
Pb 0.317 0.910 0.031
Pb 0.380 0.286 0.469
Pb 0.380 0.593 0.910
Pb 0.407 0.090 0.620
Pb 0.407 0.817 0.786
Pb 0.410 0.093 0.880
Pb 0.410 0.817 0.531
Pb 0.469 0.380 0.286
Pb 0.469 0.590 0.183
Pb 0.531 0.410 0.817
Pb 0.531 0.620 0.714
Pb 0.590 0.183 0.469
Pb 0.590 0.907 0.120
Pb 0.593 0.183 0.214
Pb 0.593 0.910 0.380
Pb 0.620 0.407 0.090
Pb 0.620 0.714 0.531
Pb 0.683 0.090 0.969
Pb 0.683 0.093 0.714
Pb 0.714 0.531 0.620
Pb 0.714 0.683 0.093
Pb 0.786 0.407 0.817
Pb 0.786 0.880 0.969
Pb 0.817 0.531 0.410
Pb 0.817 0.786 0.407
Pb 0.880 0.410 0.093
Pb 0.880 0.969 0.786
Pb 0.907 0.120 0.590
Pb 0.907 0.286 0.317
Pb 0.910 0.031 0.317
Pb 0.910 0.380 0.593
Pb 0.969 0.683 0.090
Pb 0.969 0.786 0.880



17.
! NdSm2O PBE optimized geometry; values from VASP
! Symmetry: R-3m (166)
! Energy relative to the elements, uncorrected, eV per formula unit: -4.68
&SYSTEM
  ibrav = 0, nat = 4, ntyp = 3
/
ATOMIC_SPECIES
Nd 144.24 Nd.upf
Sm 150.36 Sm.upf
O 16.00 O.upf
CELL_PARAMETERS angstrom
1.793 1.035 9.565
-1.793 1.035 9.565
0.000 -2.070 9.565
ATOMIC_POSITIONS crystal
Nd 0.000 0.000 0.000
Sm 0.120 0.120 0.120
Sm 0.880 0.880 0.880
O 0.500 0.500 0.500



18.
! CsTlGeRh PBE optimized geometry; values from VASP
! Symmetry: P4/nmm (129)
! Uncorrected energy, eV per atom: -4.057
&SYSTEM
  ibrav = 0, nat = 8, ntyp = 4
/
ATOMIC_SPECIES
Cs 132.91 Cs.upf
Tl 204.38 Tl.upf
Ge 72.64 Ge.upf
Rh 102.91 Rh.upf
CELL_PARAMETERS angstrom
4.313 0.000 0.000
0.000 4.313 0.000
0.000 0.000 14.366
ATOMIC_POSITIONS crystal
Cs 0.250 0.250 0.235
Cs 0.750 0.750 0.765
Tl 0.250 0.750 0.500
Tl 0.750 0.250 0.500
Ge 0.250 0.250 0.918
Ge 0.750 0.750 0.082
Rh 0.250 0.750 0.000
Rh 0.750 0.250 0.000



19.
! TaMnTe PBE optimized geometry; values from VASP
! Symmetry: R-3m (166)
! Energy relative to the elements, uncorrected, eV per formula unit: -0.21
&SYSTEM
  ibrav = 0, nat = 6, ntyp = 3
/
ATOMIC_SPECIES
Ta 180.95 Ta.upf
Mn 54.94 Mn.upf
Te 127.60 Te.upf
CELL_PARAMETERS angstrom
1.817 1.049 11.495
-1.817 1.049 11.495
0.000 -2.098 11.495
ATOMIC_POSITIONS crystal
Ta 0.052 0.052 0.052
Ta 0.948 0.948 0.948
Mn 0.340 0.340 0.340
Mn 0.660 0.660 0.660
Te 0.224 0.224 0.224
Te 0.776 0.776 0.776



20.
! Y2MgCd PBE optimized geometry; values from VASP
! Symmetry: Fm-3m (225)
! Uncorrected energy, eV per atom: -4.089
&SYSTEM
  ibrav = 0, nat = 4, ntyp = 3
/
ATOMIC_SPECIES
Y 88.91 Y.upf
Mg 24.30 Mg.upf
Cd 112.41 Cd.upf
CELL_PARAMETERS angstrom
0.000 3.771 3.771
3.771 0.000 3.771
3.771 3.771 0.000
ATOMIC_POSITIONS crystal
Y 0.250 0.250 0.250
Y 0.750 0.750 0.750
Mg 0.000 0.000 0.000
Cd 0.500 0.500 0.500



Ordered DOS(E_F) results: 4.680; 0.000; 2.220; 6.737; 2.601; 2.401; 2.931; 7.278; 11.169; 1.099; 3.618; 8.107; 20.696; 4.148; 18.991; 42.998; 5.020; 6.473; 3.258; 5.179; unit states/eV per cell.
Ordered spin magnetization results: 0.0; 0.0; 0.0; 0.0; 0.0; 0.0; 0.0; 2.7; 0.0; 0.0; 1.1; 0.0; 1.0; 0.0; 0.0; 0.0; 0.0; 0.0; 0.0; 0.0; unit μB per formula unit.